Record 1
Here is crystalline Mn6P7O24 at its relaxed geometry from Alexandria via LeMat-Bulk. Energies are from GGA-PBEsol.

abc: 5.336 6.425 26.854
angles: 90.00 90.00 107.56
Site moments in Bohr magnetons follow the coordinates.
Element x y z (fractional)
O 0.862 0.232 0.875  0.05
O 0.478 0.059 0.203  0.01
O 0.874 0.608 0.906  0.04
O 0.828 0.619 0.028  0.04
O 0.138 0.768 0.125  0.05
O 0.862 0.232 0.625  0.05
O 0.172 0.381 0.972  0.04
O 0.476 0.381 0.643  0.03
O 0.596 0.826 0.528  0.05
O 0.129 0.790 0.250  0.03
O 0.144 0.593 0.808  0.03
O 0.135 0.988 0.548  0.05
O 0.596 0.826 0.972  0.05
O 0.865 0.012 0.048  0.05
O 0.415 0.804 0.881  0.06
O 0.422 0.727 0.445  0.01
O 0.404 0.174 0.028  0.05
O 0.856 0.407 0.308  0.03
O 0.091 0.957 0.835  0.04
O 0.585 0.196 0.119  0.06
O 0.828 0.619 0.472  0.04
O 0.144 0.593 0.692  0.03
O 0.856 0.407 0.192  0.03
O 0.415 0.804 0.619  0.06
O 0.478 0.059 0.297  0.01
O 0.524 0.619 0.357  0.03
O 0.138 0.768 0.375  0.05
O 0.522 0.941 0.797  0.01
O 0.610 0.765 0.250  0.05
O 0.865 0.012 0.452  0.05
O 0.404 0.174 0.472  0.05
O 0.126 0.392 0.094  0.04
O 0.522 0.941 0.703  0.01
O 0.578 0.273 0.945  0.01
O 0.524 0.619 0.143  0.03
O 0.909 0.043 0.165  0.04
O 0.909 0.043 0.335  0.04
O 0.126 0.392 0.406  0.04
O 0.585 0.196 0.381  0.06
O 0.871 0.210 0.750  0.03
O 0.172 0.381 0.528  0.04
O 0.578 0.273 0.555  0.01
O 0.422 0.727 0.055  0.01
O 0.874 0.608 0.594  0.04
O 0.390 0.235 0.750  0.05
O 0.476 0.381 0.857  0.03
O 0.135 0.988 0.952  0.05
O 0.091 0.957 0.665  0.04
P 0.422 0.902 0.250  0.02
P 0.695 0.377 0.892  0.03
P 0.695 0.377 0.608  0.03
P 0.305 0.623 0.108  0.03
P 0.694 0.796 0.475  0.03
P 0.273 0.812 0.831  0.03
P 0.727 0.188 0.331  0.03
P 0.578 0.098 0.750  0.02
P 0.694 0.796 0.025  0.03
P 0.727 0.188 0.169  0.03
P 0.273 0.812 0.669  0.03
P 0.306 0.204 0.975  0.03
P 0.305 0.623 0.392  0.03
P 0.306 0.204 0.525  0.03
Mn 0.150 0.285 0.686  4.33
Mn 0.784 0.313 0.449  4.34
Mn 0.850 0.715 0.186  4.33
Mn 0.814 0.917 0.899  4.44
Mn 0.216 0.687 0.551  4.34
Mn 0.814 0.917 0.601  4.44
Mn 0.186 0.083 0.399  4.44
Mn 0.216 0.687 0.949  4.34
Mn 0.850 0.715 0.314  4.33
Mn 0.150 0.285 0.814  4.33
Mn 0.784 0.313 0.051  4.34
Mn 0.186 0.083 0.101  4.44

Summary:
E_form (uncorrected)   -1.974 eV/atom

***

Record 2
Here is crystalline Mn3P4O16 at its relaxed geometry from Alexandria via LeMat-Bulk. Energies are from GGA-PBEsol.

abc: 6.182 9.973 10.291
angles: 101.77 90.00 108.06
Site moments in Bohr magnetons follow the coordinates.
Element x y z (fractional)
O 0.035 0.688 0.257  0.02
O 0.226 0.520 0.641  0.00
O 0.953 0.313 0.184  0.03
O 0.551 0.173 0.060  0.10
O 0.304 0.522 0.865  0.00
O 0.653 0.688 0.757  0.02
O 0.219 0.522 0.365  0.00
O 0.640 0.687 0.316  0.03
O 0.167 0.968 0.598  -0.01
O 0.973 0.309 0.461  0.09
O 0.393 0.821 0.680  0.10
O 0.572 0.179 0.820  0.10
O 0.622 0.173 0.560  0.10
O 0.774 0.480 0.359  0.00
O 0.027 0.691 0.539  0.09
O 0.781 0.478 0.635  0.00
O 0.696 0.478 0.135  0.00
O 0.294 0.520 0.141  0.00
O 0.378 0.827 0.440  0.10
O 0.965 0.312 0.743  0.02
O 0.607 0.179 0.320  0.10
O 0.360 0.313 0.684  0.03
O 0.665 0.691 0.039  0.09
O 0.449 0.827 0.940  0.10
O 0.199 0.032 0.902  -0.01
O 0.801 0.968 0.098  -0.01
O 0.428 0.821 0.180  0.10
O 0.047 0.687 0.816  0.03
O 0.706 0.480 0.859  0.00
O 0.347 0.312 0.243  0.02
O 0.335 0.309 0.961  0.09
O 0.833 0.032 0.402  -0.01
P 0.603 0.837 0.067  0.01
P 0.397 0.163 0.933  0.01
P 0.207 0.402 0.730  0.01
P 0.766 0.163 0.433  0.01
P 0.793 0.598 0.270  0.01
P 0.804 0.598 0.770  0.01
P 0.234 0.837 0.567  0.01
P 0.196 0.402 0.230  0.01
Mn 0.656 0.301 0.712  2.54
Mn 0.000 0.500 0.500  2.78
Mn 0.645 0.301 0.212  2.54
Mn 0.344 0.699 0.288  2.54
Mn 0.500 0.500 0.000  2.78
Mn 0.355 0.699 0.788  2.54

Summary:
E_form (uncorrected)   -1.834 eV/atom

***

no.,total magnetization (μB per cell)
1,58.00
2,18.00